Entry 1:
A plane-wave DFT calculation with meta-GGA SCAN was carried out for YNbAs2Ru at its PBEsol-relaxed geometry.

Computed properties:
Fermi-level density of states, states/eV/atom: 0.956
Formation energy, eV per atom: 0.891
Space-group type: P4/mmm

Cell lengths 4.839, 4.839, 5.243 Å; angles 90.00, 90.00, 90.00 degrees
Each line ends with the local moment (μB).
Positions (direct):
Nb 0.000 0.000 0.000  0.16
Y 0.000 0.000 0.500  -0.04
As 0.500 0.000 0.000  -0.04
As 0.000 0.500 0.000  -0.04
Ru 0.500 0.500 0.500  2.16


Entry 2:
A plane-wave DFT calculation with meta-GGA SCAN was carried out for K3FeF6 at its PBEsol-relaxed geometry.

Computed properties:
Fermi-level density of states, states/eV/atom: 1.075
Space-group type: Fm-3m

Cell lengths 6.069, 6.069, 6.069 Å; angles 60.00, 60.00, 60.00 degrees
Each line ends with the local moment (μB).
Positions (direct):
Fe 0.000 0.000 0.000  0.91
K 0.500 0.500 0.500  0.00
K 0.750 0.750 0.750  0.00
K 0.250 0.250 0.250  0.00
F 0.216 0.784 0.216  0.01
F 0.216 0.784 0.784  0.01
F 0.784 0.216 0.216  0.01
F 0.784 0.784 0.216  0.01
F 0.784 0.216 0.784  0.01
F 0.216 0.216 0.784  0.01


Entry 3:
A plane-wave DFT calculation with meta-GGA SCAN was carried out for Ba4TiN4 at its PBEsol-relaxed geometry.

Computed properties:
Space-group type: P-1

Cell lengths 6.675, 6.751, 9.646 Å; angles 72.06, 79.10, 66.05 degrees
Positions (direct):
N 0.099 0.186 0.091
N 0.040 0.320 0.373
N 0.534 0.672 0.817
N 0.429 0.862 0.363
N 0.901 0.814 0.909
N 0.466 0.328 0.183
N 0.571 0.138 0.637
N 0.960 0.680 0.627
Ti 0.270 0.163 0.244
Ti 0.730 0.837 0.756
Ba 0.290 0.495 0.438
Ba 0.207 0.977 0.622
Ba 0.251 0.769 0.040
Ba 0.767 0.578 0.155
Ba 0.749 0.231 0.960
Ba 0.793 0.023 0.378
Ba 0.233 0.422 0.845
Ba 0.710 0.505 0.562


Entry 4:
A plane-wave DFT calculation with meta-GGA SCAN was carried out for TiCuSb2I at its PBEsol-relaxed geometry.

Computed properties:
Fermi-level density of states, states/eV/atom: 0.874
Space-group type: P4/mmm

Cell lengths 4.919, 4.919, 5.378 Å; angles 90.00, 90.00, 90.00 degrees
Each line ends with the local moment (μB).
Positions (direct):
Ti 0.500 0.500 0.500  1.91
Sb 0.500 0.000 0.000  -0.10
Sb 0.000 0.500 0.000  -0.10
I 0.000 0.000 0.500  -0.03
Cu 0.000 0.000 0.000  -0.01


Entry 5:
A plane-wave DFT calculation with meta-GGA SCAN was carried out for RbSc2AgAu at its PBEsol-relaxed geometry.

Computed properties:
Fermi-level density of states, states/eV/atom: 1.183
Formation energy, eV per atom: 0.128
Space-group type: P4/mmm

Cell lengths 5.196, 5.196, 5.334 Å; angles 90.00, 90.00, 90.00 degrees
Positions (direct):
Ag 0.000 0.000 0.500
Au 0.000 0.000 0.000
Sc 0.000 0.500 0.000
Sc 0.500 0.000 0.000
Rb 0.500 0.500 0.500


Entry 6:
A plane-wave DFT calculation with meta-GGA SCAN was carried out for ErPd2Pb at its PBEsol-relaxed geometry.

Computed properties:
Fermi-level density of states, states/eV/atom: 0.429
Formation energy, eV per atom: -0.767
Space-group type: Fm-3m

Cell lengths 4.758, 4.758, 4.758 Å; angles 60.00, 60.00, 60.00 degrees
Positions (direct):
Er 0.500 0.500 0.500
Pd 0.750 0.750 0.750
Pd 0.250 0.250 0.250
Pb 0.000 0.000 0.000


Entry 7:
A plane-wave DFT calculation with meta-GGA SCAN was carried out for Sc2BeSi at its PBEsol-relaxed geometry.

Computed properties:
Fermi-level density of states, states/eV/atom: 0.307
Energy above the lowest structure with this stoichiometry, meV per atom: 189.0
Space-group type: Fm-3m

Cell lengths 4.485, 4.485, 4.485 Å; angles 60.00, 60.00, 60.00 degrees
Positions (direct):
Sc 0.250 0.250 0.250
Sc 0.750 0.750 0.750
Si 0.500 0.500 0.500
Be 0.000 0.000 0.000


Entry 8:
A plane-wave DFT calculation with meta-GGA SCAN was carried out for Ta3PdAu at its PBEsol-relaxed geometry.

Computed properties:
Fermi-level density of states, states/eV/atom: 1.292
Formation energy, eV per atom: 1.760
Space-group type: Pm-3m

Cell lengths 4.834, 4.834, 4.834 Å; angles 90.00, 90.00, 90.00 degrees
Positions (direct):
Ta 0.000 0.500 0.000
Ta 0.000 0.000 0.500
Ta 0.500 0.000 0.000
Pd 0.500 0.500 0.500
Au 0.000 0.000 0.000


For reference, energy by record: -26.345, -9.163, -24.476, -27.890, -29.819, -48.685, -11.056, -58.576 eV per atom.